# 1
DFT (PBE) results for a relaxed Na2BeTeO4 crystal.

Cell lengths 5.421, 5.421, 5.421 Å; angles 86.26, 122.18, 122.18 degrees
Element x y z (fractional)
O1 0.385 0.825 0.784
O2 0.041 0.216 0.601
O3 0.615 0.399 0.440
O4 0.959 0.560 0.175
Na1 0.500 0.750 0.250
Na2 0.000 0.000 0.000
Be1 0.000 0.500 0.500
Te1 0.500 0.250 0.750

space-group type	I-4, No. 82
DOS at the Fermi energy	0.0000	states/eV/atom
total DFT energy (no corrections)	-5.21	eV per atom


# 2
DFT (PBE) results for a relaxed TbErS3 crystal.

Cell lengths 3.877, 7.730, 7.736 Å; angles 94.55, 90.00, 90.00 degrees
Element x y z (fractional)
Tb1 0.250 0.381 0.230
Tb2 0.750 0.619 0.770
Er1 0.750 0.146 0.681
Er2 0.250 0.854 0.319
S1 0.750 0.623 0.387
S2 0.250 0.679 0.019
S3 0.750 0.103 0.321
S4 0.250 0.377 0.613
S5 0.250 0.897 0.679
S6 0.750 0.321 0.981

space-group type	P2_1/m, No. 11
total DFT energy (no corrections)	-6.36	eV per atom


# 3
DFT (PBE) results for a relaxed Co2SiCl crystal.

Cell lengths 5.140, 5.140, 6.205 Å; angles 65.53, 65.53, 90.00 degrees
Each line ends with the local moment (μB).
Element x y z (fractional)
Cl1 0.750 0.250 0.500  0.06
Cl2 0.000 0.000 0.000  0.05
Co1 0.625 0.125 0.250  0.58
Co2 0.875 0.875 0.750  0.56
Co3 0.125 0.625 0.250  0.56
Co4 0.375 0.375 0.750  0.63
Si1 0.250 0.750 0.500  -0.06
Si2 0.500 0.500 0.000  -0.06

space-group type	I-42d, No. 122
DOS at the Fermi energy	1.1706	states/eV/atom
total DFT energy (no corrections)	-5.07	eV per atom


# 4
DFT (PBE) results for a relaxed TbAl2Cu crystal.

Cell lengths 5.536, 6.798, 15.702 Å; angles 90.00, 90.00, 90.00 degrees
Element x y z (fractional)
Al1 0.039 0.945 0.784
Al2 0.539 0.055 0.716
Al3 0.961 0.445 0.216
Al4 0.255 0.447 0.966
Al5 0.755 0.553 0.534
Al6 0.255 0.053 0.966
Al7 0.539 0.445 0.716
Al8 0.039 0.555 0.784
Al9 0.745 0.553 0.034
Al10 0.745 0.947 0.034
Al11 0.245 0.447 0.466
Al12 0.961 0.055 0.216
Al13 0.461 0.555 0.284
Al14 0.755 0.947 0.534
Al15 0.461 0.945 0.284
Al16 0.245 0.053 0.466
Cu1 0.774 0.750 0.673
Cu2 0.009 0.750 0.927
Cu3 0.509 0.250 0.573
Cu4 0.226 0.250 0.327
Cu5 0.726 0.750 0.173
Cu6 0.274 0.250 0.827
Cu7 0.491 0.750 0.427
Cu8 0.991 0.250 0.073
Tb1 0.762 0.250 0.890
Tb2 0.473 0.250 0.144
Tb3 0.527 0.750 0.856
Tb4 0.738 0.250 0.390
Tb5 0.238 0.750 0.110
Tb6 0.027 0.250 0.644
Tb7 0.262 0.750 0.610
Tb8 0.973 0.750 0.356

space-group type	Pnma, No. 62
DOS at the Fermi energy	0.3801	states/eV/atom
total DFT energy (no corrections)	-4.49	eV per atom


# 5
DFT (PBE) results for a relaxed PrInPb6 crystal.

Cell lengths 4.997, 6.962, 6.962 Å; angles 90.00, 90.00, 90.00 degrees
Element x y z (fractional)
Pb1 0.000 0.257 0.257
Pb2 0.500 0.500 0.000
Pb3 0.000 0.743 0.257
Pb4 0.000 0.743 0.743
Pb5 0.000 0.257 0.743
Pb6 0.500 0.000 0.500
In1 0.500 0.500 0.500
Pr1 0.500 0.000 0.000

space-group type	P4/mmm, No. 123
DOS at the Fermi energy	0.6630	states/eV/atom
total DFT energy (no corrections)	-3.87	eV per atom


# 6
DFT (PBE) results for a relaxed TaBe2Sb crystal.

Cell lengths 4.896, 4.896, 4.897 Å; angles 133.77, 133.77, 67.42 degrees
Element x y z (fractional)
Be1 0.000 0.000 0.000
Be2 0.500 0.500 0.000
Sb1 0.750 0.250 0.500
Ta1 0.250 0.750 0.500

space-group type	I4/mmm, No. 139
DOS at the Fermi energy	0.4116	states/eV/atom
total DFT energy (no corrections)	-5.43	eV per atom


# 7
DFT (PBE) results for a relaxed H2IrRhN crystal.

Cell lengths 3.633, 3.793, 3.633 Å; angles 90.00, 90.00, 90.00 degrees
Element x y z (fractional)
H1 0.000 0.000 0.500
H2 0.500 0.000 0.000
N1 0.000 0.000 0.000
Rh1 0.000 0.500 0.000
Ir1 0.500 0.500 0.500

space-group type	P4/mmm, No. 123
DOS at the Fermi energy	0.8891	states/eV/atom
total DFT energy (no corrections)	-4.87	eV per atom


# 8
DFT (PBE) results for a relaxed Zr2VCd2 crystal.

Cell lengths 7.494, 7.494, 3.863 Å; angles 90.00, 90.00, 90.00 degrees
Each line ends with the local moment (μB).
Element x y z (fractional)
Cd1 0.631 0.131 0.000  0.00
Cd2 0.131 0.369 0.000  0.00
Cd3 0.869 0.631 0.000  0.00
Cd4 0.369 0.869 0.000  0.00
Zr1 0.326 0.174 0.500  -0.02
Zr2 0.826 0.326 0.500  -0.02
Zr3 0.174 0.674 0.500  -0.02
Zr4 0.674 0.826 0.500  -0.02
V1 0.500 0.500 0.000  2.35
V2 0.000 0.000 0.000  2.35

space-group type	P4/mbm, No. 127
DOS at the Fermi energy	0.9976	states/eV/atom
total DFT energy (no corrections)	-5.31	eV per atom


# 9
DFT (PBE) results for a relaxed CaNdPu2P4 crystal.

Cell lengths 5.760, 5.760, 7.017 Å; angles 114.23, 114.23, 90.00 degrees
Each line ends with the local moment (μB).
Element x y z (fractional)
P1 0.437 0.937 0.000  -0.14
P2 0.937 0.437 0.000  -0.14
P3 0.186 0.186 0.497  -0.16
P4 0.689 0.689 0.503  -0.16
Ca1 0.437 0.437 0.000  -0.02
Nd1 0.937 0.937 0.000  0.01
Pu1 0.687 0.187 0.500  4.81
Pu2 0.187 0.687 0.500  4.81

space-group type	I4/mmm, No. 139
DOS at the Fermi energy	2.5608	states/eV/atom
total DFT energy (no corrections)	-8.30	eV per atom


# 10
DFT (PBE) results for a relaxed SiSbWI2 crystal.

Cell lengths 5.490, 5.490, 5.328 Å; angles 90.00, 90.00, 90.00 degrees
Each line ends with the local moment (μB).
Element x y z (fractional)
Si1 0.500 0.500 0.500  0.37
I1 0.500 0.000 0.000  0.01
I2 0.000 0.500 0.000  0.01
Sb1 0.000 0.000 0.500  -0.12
W1 0.000 0.000 0.000  1.28

space-group type	P4/mmm, No. 123
DOS at the Fermi energy	0.9120	states/eV/atom
total DFT energy (no corrections)	-3.95	eV per atom


# 11
DFT (PBE) results for a relaxed CaScS2O8 crystal.

Cell lengths 5.284, 5.284, 6.781 Å; angles 90.00, 90.00, 120.00 degrees
Each line ends with the local moment (μB).
Element x y z (fractional)
O1 0.821 0.178 0.283  0.00
O2 0.179 0.822 0.717  0.00
O3 0.822 0.643 0.283  0.00
O4 0.667 0.333 0.994  0.00
O5 0.643 0.821 0.717  0.00
O6 0.178 0.357 0.717  0.00
O7 0.333 0.667 0.006  0.00
O8 0.357 0.179 0.283  0.00
S1 0.333 0.667 0.789  0.02
S2 0.667 0.333 0.211  0.02
Ca1 0.000 0.000 0.000  0.03
Sc1 0.000 0.000 0.500  0.65

space-group type	P-3m1, No. 164
DOS at the Fermi energy	0.2096	states/eV/atom
total DFT energy (no corrections)	-6.67	eV per atom


# 12
DFT (PBE) results for a relaxed Ce5CoAu2 crystal.

Cell lengths 4.669, 7.245, 11.816 Å; angles 90.00, 90.00, 90.00 degrees
Each line ends with the local moment (μB).
Element x y z (fractional)
Ce1 0.000 0.500 0.000  0.91
Ce2 0.000 0.099 0.802  0.51
Ce3 0.000 0.599 0.698  0.51
Ce4 0.000 0.000 0.500  0.91
Ce5 0.000 0.901 0.198  0.51
Ce6 0.000 0.401 0.302  0.51
Ce7 0.500 0.223 0.055  0.65
Ce8 0.500 0.723 0.445  0.65
Ce9 0.500 0.777 0.945  0.65
Ce10 0.500 0.277 0.555  0.65
Au1 0.500 0.388 0.813  0.02
Au2 0.500 0.112 0.313  0.02
Au3 0.500 0.612 0.187  0.02
Au4 0.500 0.888 0.687  0.02
Co1 0.000 0.000 0.000  -0.12
Co2 0.000 0.500 0.500  -0.12

space-group type	Pbam, No. 55
DOS at the Fermi energy	2.9921	states/eV/atom
total DFT energy (no corrections)	-5.77	eV per atom


# 13
DFT (PBE) results for a relaxed Ho2Mg3Cu2 crystal.

Cell lengths 3.889, 5.579, 7.556 Å; angles 96.39, 90.00, 110.40 degrees
Element x y z (fractional)
Ho1 0.626 0.251 0.363
Ho2 0.374 0.749 0.637
Cu1 0.917 0.833 0.361
Cu2 0.083 0.167 0.639
Mg1 0.686 0.373 0.858
Mg2 0.000 0.000 0.000
Mg3 0.314 0.627 0.142

space-group type	C2/m, No. 12
DOS at the Fermi energy	0.5995	states/eV/atom
total DFT energy (no corrections)	-3.33	eV per atom


# 14
DFT (PBE) results for a relaxed Pr4Ni3Ru crystal.

Cell lengths 4.000, 4.171, 10.952 Å; angles 90.00, 90.00, 90.00 degrees
Element x y z (fractional)
Pr1 0.000 0.000 0.141
Pr2 0.000 0.500 0.862
Pr3 0.500 0.500 0.357
Pr4 0.500 0.000 0.638
Ru1 0.500 0.500 0.072
Ni1 0.000 0.500 0.567
Ni2 0.500 0.000 0.925
Ni3 0.000 0.000 0.437

space-group type	Pmm2, No. 25
DOS at the Fermi energy	0.8069	states/eV/atom
total DFT energy (no corrections)	-5.96	eV per atom


# 15
DFT (PBE) results for a relaxed KTi2P2 crystal.

Cell lengths 4.826, 4.826, 7.122 Å; angles 70.20, 70.20, 90.00 degrees
Each line ends with the local moment (μB).
Element x y z (fractional)
Ti1 0.268 0.268 0.465  0.88
Ti2 0.732 0.732 0.535  0.88
P1 0.750 0.250 0.500  -0.06
P2 0.250 0.750 0.500  -0.06
K1 0.000 0.000 0.000  0.03

space-group type	I4/mmm, No. 139
DOS at the Fermi energy	0.6205	states/eV/atom
total DFT energy (no corrections)	-5.92	eV per atom


# 16
DFT (PBE) results for a relaxed SrTa2Pt crystal.

Cell lengths 10.576, 10.576, 10.576 Å; angles 16.47, 16.47, 16.47 degrees
Element x y z (fractional)
Ta1 0.512 0.512 0.512
Ta2 0.988 0.988 0.988
Pt1 0.250 0.250 0.250
Sr1 0.750 0.750 0.750

space-group type	R-3m, No. 166
DOS at the Fermi energy	1.1422	states/eV/atom
total DFT energy (no corrections)	-7.35	eV per atom


# 17
DFT (PBE) results for a relaxed BaBe2Ru crystal.

Cell lengths 3.829, 4.260, 5.334 Å; angles 81.47, 90.00, 90.00 degrees
Element x y z (fractional)
Ru1 0.000 0.514 0.282
Ba1 0.500 0.688 0.757
Be1 0.000 0.048 0.180
Be2 0.500 0.250 0.282

space-group type	Pm, No. 6
DOS at the Fermi energy	0.3355	states/eV/atom
total DFT energy (no corrections)	-4.35	eV per atom


# 18
DFT (PBE) results for a relaxed FeCuOs4 crystal.

Cell lengths 5.103, 5.103, 5.103 Å; angles 60.00, 60.00, 60.00 degrees
Each line ends with the local moment (μB).
Element x y z (fractional)
Cu1 0.750 0.750 0.750  0.01
Fe1 0.000 0.000 0.000  3.14
Os1 0.375 0.375 0.875  -0.02
Os2 0.875 0.375 0.375  -0.02
Os3 0.375 0.375 0.375  -0.02
Os4 0.375 0.875 0.375  -0.02

space-group type	F-43m, No. 216
DOS at the Fermi energy	1.1726	states/eV/atom
total DFT energy (no corrections)	-8.73	eV per atom


# 19
DFT (PBE) results for a relaxed Li2AlH6Ru crystal.

Cell lengths 4.844, 4.841, 4.814 Å; angles 59.89, 60.48, 90.74 degrees
Element x y z (fractional)
Li1 0.252 0.759 0.487
Li2 0.748 0.241 0.513
Al1 0.000 0.000 0.000
H1 0.698 0.206 0.005
H2 0.811 0.805 0.509
H3 0.302 0.794 0.995
H4 0.726 0.646 0.115
H5 0.189 0.195 0.491
H6 0.274 0.354 0.885
Ru1 0.500 0.500 0.000

space-group type	P-1, No. 2
DOS at the Fermi energy	0.1510	states/eV/atom
total DFT energy (no corrections)	-3.88	eV per atom


# 20
DFT (PBE) results for a relaxed NbRhW crystal.

Cell lengths 2.786, 5.139, 7.045 Å; angles 82.68, 79.05, 81.07 degrees
Element x y z (fractional)
W1 0.000 0.000 0.500
W2 0.500 0.500 0.500
Rh1 0.893 0.787 0.184
Rh2 0.107 0.213 0.816
Nb1 0.620 0.715 0.842
Nb2 0.380 0.285 0.158

space-group type	P-1, No. 2
DOS at the Fermi energy	0.8526	states/eV/atom
total DFT energy (no corrections)	-10.27	eV per atom